Entry A
Material: SiS2ClF
Method: DFT, GGA-PBE
State: relaxed

DOS at the Fermi energy in states/eV/atom: 0.559

Cell: 4.1369 4.1369 5.5088 Å, 90.00 90.00 90.00°
Sites, in units of the cell vectors:
S  0.5000  0.0000  0.0000
S  0.0000  0.5000  0.0000
Cl  0.0000  0.0000  0.5000
Si  0.5000  0.5000  0.5000
F  0.0000  0.0000  0.0000



Entry B
Material: SiS2ClF
Method: DFT, GGA-PBE
State: relaxed

DOS at the Fermi energy in states/eV/atom: 0.783

Cell: 4.4887 4.4887 4.6002 Å, 90.00 90.00 90.00°
Site moments in Bohr magnetons follow the coordinates.
Sites, in units of the cell vectors:
F  0.5000  0.5000  0.5000  0.39
S  0.5000  0.0000  0.0000  0.38
Cl  0.0000  0.0000  0.5000  0.13
S  0.0000  0.5000  0.0000  0.38
Si  0.0000  0.0000  0.0000  -0.01



entry B is favored, and the nearest alternative lies 429 meV/atom above it.



Entry A
Material: TaSCl2F
Method: DFT, GGA-PBE
State: relaxed

DOS at the Fermi energy in states/eV/atom: 0.681

Cell: 4.9874 4.9874 3.6088 Å, 90.00 90.00 90.00°
Site moments in Bohr magnetons follow the coordinates.
Sites, in units of the cell vectors:
S  0.0000  0.0000  0.5000  -0.23
Ta  0.5000  0.5000  0.5000  1.23
F  0.0000  0.0000  0.0000  -0.02
Cl  0.0000  0.5000  0.0000  -0.06
Cl  0.5000  0.0000  0.0000  -0.06



Entry B
Material: TaSCl2F
Method: DFT, GGA-PBE
State: relaxed

DOS at the Fermi energy in states/eV/atom: 1.661

Cell: 4.8165 4.8165 4.6795 Å, 90.00 90.00 90.00°
Site moments in Bohr magnetons follow the coordinates.
Sites, in units of the cell vectors:
Ta  0.0000  0.0000  0.0000  0.04
F  0.5000  0.5000  0.5000  -0.29
S  0.0000  0.0000  0.5000  -0.04
Cl  0.5000  0.0000  0.0000  0.00
Cl  0.0000  0.5000  0.0000  0.00



entry B is favored, and the nearest alternative lies 1333 meV/atom above it.



Entry A
Material: TcSCl2F
Method: DFT, GGA-PBE
State: relaxed

DOS at the Fermi energy in states/eV/atom: 0.603

Cell: 5.3349 5.3349 3.6301 Å, 90.00 90.00 90.00°
Site moments in Bohr magnetons follow the coordinates.
Sites, in units of the cell vectors:
Cl  0.0000  0.5000  0.0000  -0.02
F  0.0000  0.0000  0.0000  -0.08
Cl  0.5000  0.0000  0.0000  -0.02
Tc  0.5000  0.5000  0.5000  3.97
S  0.0000  0.0000  0.5000  -0.51



Entry B
Material: TcSCl2F
Method: DFT, GGA-PBE
State: relaxed

DOS at the Fermi energy in states/eV/atom: 1.113

Cell: 4.7314 4.7314 4.4858 Å, 90.00 90.00 90.00°
Sites, in units of the cell vectors:
Tc  0.0000  0.0000  0.0000
Cl  0.0000  0.5000  0.0000
Cl  0.5000  0.0000  0.0000
S  0.0000  0.0000  0.5000
F  0.5000  0.5000  0.5000



entry B is favored, and the nearest alternative lies 799 meV/atom above it.



Entry A
Material: TeS2ClF
Method: DFT, GGA-PBE
State: relaxed

DOS at the Fermi energy in states/eV/atom: 0.358

Cell: 4.2354 4.2354 5.4778 Å, 90.00 90.00 90.00°
Sites, in units of the cell vectors:
F  0.0000  0.0000  0.0000
S  0.0000  0.5000  0.0000
S  0.5000  0.0000  0.0000
Cl  0.0000  0.0000  0.5000
Te  0.5000  0.5000  0.5000



Entry B
Material: TeS2ClF
Method: DFT, GGA-PBE
State: relaxed

DOS at the Fermi energy in states/eV/atom: 1.490

Cell: 5.0899 5.0899 5.1644 Å, 90.00 90.00 90.00°
Site moments in Bohr magnetons follow the coordinates.
Sites, in units of the cell vectors:
Te  0.0000  0.0000  0.0000  0.04
Cl  0.0000  0.0000  0.5000  -0.04
F  0.5000  0.5000  0.5000  -0.49
S  0.5000  0.0000  0.0000  -0.41
S  0.0000  0.5000  0.0000  -0.41



entry B is favored, and the nearest alternative lies 134 meV/atom above it.